Computed, not measured: an optimized crystal structure of CrTc at the GGA-PBE level of DFT.

a b c (Å): 7.991 7.991 4.302
angles (deg): 90.00 90.00 90.00
Space group P4/mcc (No. 124)
Symmetry-distinct sites (fractional):
Cr 0.073 0.381 0.000 x8
Tc 0.271 0.385 0.500 x8

Computed properties:
Total energy: -149.42 eV/cell
Total moment: 0.0 Bohr magnetons per cell
DFT formation energy: 0.66 eV/atom
Calculated volume: 274.7 Å³/cell